Ag2IrRu | the Alexandria database | GGA-PBE | optimized geometry; symmetry = Pmmm; offset from the most stable computed form = 0.3958 eV per atom
1.0
-1.900 -1.779 0.759
0.314 -2.004 -3.909
3.829 -3.248 1.973
Ag Ir Ru
2 1 1
Direct
0.000 0.000 0.000
0.000 0.000 0.500
0.500 0.500 0.250
0.500 0.500 0.750

AgIrRu2 | the Alexandria database | GGA-PBE | optimized geometry; symmetry = Pmmm; offset from the most stable computed form = 0.1271 eV per atom
1.0
3.910 0.000 0.000
0.000 2.721 0.006
0.000 2.709 5.650
Ru Ir Ag
2 1 1
Direct
0.000 0.477 0.522
0.000 0.023 0.978
0.500 0.750 0.750
0.500 0.250 0.250

Ag2IrRu | the Alexandria database | GGA-PBE | optimized geometry; symmetry = P4/mmm; offset from the most stable computed form = 0.3956 eV per atom
1.0
-3.012 -2.023 2.512
2.666 -2.462 1.213
0.846 2.346 2.902
Ru Ag Ir
1 2 1
Direct
0.500 0.000 0.500
0.000 0.500 0.500
0.000 0.000 0.000
0.500 0.500 0.000

no.,raw total energy (eV/atom)
1,-5.343
2,-7.199
3,-5.344